Arrangement one

VASP calculation (PBE) on crystalline UTl2Cl5 at its relaxed geometry.

Results
- D(E_F) (states/eV per cell) = 9.94
- SG = Pnma (62)
- size of the total moment (μB per cell) = 12.0

The structure in POSCAR format:
```
UTl2Cl5
1.0
-5.955 -4.914 -3.008
6.006 -6.289 -1.616
-1.981 -4.997 12.086
Cl U Tl
20 4 8
direct
0.840 0.041 0.923
0.623 0.250 0.675
0.088 0.250 0.508
0.340 0.250 0.300
0.340 0.541 0.577
0.412 0.250 0.008
0.660 0.750 0.700
0.840 0.459 0.923
0.840 0.750 0.200
0.660 0.041 0.423
0.377 0.750 0.325
0.877 0.250 0.175
0.160 0.541 0.077
0.660 0.459 0.423
0.160 0.250 0.800
0.588 0.750 0.992
0.912 0.750 0.492
0.160 0.959 0.077
0.123 0.750 0.825
0.340 0.959 0.577
0.567 0.750 0.498
0.067 0.250 0.002
0.433 0.250 0.502
0.933 0.750 0.998
0.954 0.497 0.671
0.046 0.997 0.329
0.046 0.503 0.329
0.954 0.003 0.671
0.454 0.503 0.829
0.454 0.997 0.829
0.546 0.003 0.171
0.546 0.497 0.171
```

Arrangement two

VASP calculation (PBE) on crystalline UTl2Cl5 at its relaxed geometry.

Results
- D(E_F) (states/eV per cell) = 1.11
- SG = Cm (8)
- size of the total moment (μB per cell) = 3.0

The structure in POSCAR format:
```
UTl2Cl5
1.0
7.769 0.000 0.000
0.000 7.769 -0.224
-3.884 -4.038 5.988
Cl U Tl
5 1 2
direct
0.791 0.777 0.045
0.830 0.295 0.137
0.254 0.777 0.045
0.765 0.826 0.531
0.306 0.295 0.137
0.981 0.986 0.962
0.676 0.130 0.352
0.173 0.690 0.347
```

Most favorable first, least favorable last: arrangement one, arrangement two

Arrangement one

VASP calculation (PBE) on crystalline UTlCl4 at its relaxed geometry.

Results
- D(E_F) (states/eV per cell) = 6.79
- SG = C2/c (15)
- size of the total moment (μB per cell) = 6.0

The structure in POSCAR format:
```
UTlCl4
1.0
-0.509 -5.520 3.433
7.820 2.627 1.553
-5.934 5.026 2.926
Cl U Tl
8 2 2
direct
0.357 0.670 0.876
0.624 0.055 0.316
0.376 0.945 0.684
0.643 0.330 0.124
0.808 0.739 0.684
0.019 0.206 0.876
0.981 0.794 0.124
0.192 0.261 0.316
0.751 0.001 0.002
0.249 0.999 0.998
0.614 0.363 0.726
0.386 0.637 0.274
```

Arrangement two

VASP calculation (PBE) on crystalline UTlCl4 at its relaxed geometry.

Results
- D(E_F) (states/eV per cell) = 2.12
- SG = Cmmm (65)
- size of the total moment (μB per cell) = 3.0

The structure in POSCAR format:
```
UTlCl4
1.0
-1.216 1.406 3.900
-6.569 1.464 -2.576
-1.936 -6.700 1.812
Cl U Tl
4 1 1
direct
0.500 0.174 0.826
0.500 0.826 0.174
0.000 0.269 0.269
0.000 0.731 0.731
0.000 0.000 0.000
0.500 0.500 0.500
```

Most favorable first, least favorable last: arrangement one, arrangement two

Arrangement one

VASP calculation (PBE) on crystalline TlV2Cl6 at its relaxed geometry.

Results
- D(E_F) (states/eV per cell) = 11.84
- SG = C2/c (15)
- size of the total moment (μB per cell) = 10.0

The structure in POSCAR format:
```
TlV2Cl6
1.0
6.740 0.227 0.220
2.241 9.417 0.791
2.241 1.096 9.387
Cl Tl V
12 2 4
direct
0.213 0.820 0.960
0.174 0.638 0.703
0.675 0.580 0.002
0.826 0.362 0.297
0.325 0.420 0.998
0.825 0.998 0.420
0.674 0.703 0.638
0.287 0.040 0.180
0.175 0.002 0.580
0.713 0.960 0.820
0.787 0.180 0.040
0.326 0.297 0.362
0.250 0.149 0.851
0.750 0.851 0.149
0.422 0.633 0.846
0.578 0.367 0.154
0.922 0.846 0.633
0.078 0.154 0.367
```

Arrangement two

VASP calculation (PBE) on crystalline TlV2Cl6 at its relaxed geometry.

Results
- D(E_F) (states/eV per cell) = 10.05
- SG = P-31m (162)
- size of the total moment (μB per cell) = 5.0

The structure in POSCAR format:
```
TlV2Cl6
1.0
7.119 0.000 0.000
0.000 5.520 -3.187
0.000 0.000 6.374
Cl V Tl
6 2 1
direct
0.307 0.626 0.000
0.693 0.626 0.626
0.693 0.374 0.000
0.307 0.000 0.626
0.307 0.374 0.374
0.693 0.000 0.374
0.500 0.333 0.667
0.500 0.667 0.333
0.000 0.000 0.000
```

Most favorable first, least favorable last: arrangement two, arrangement one

Arrangement one

VASP calculation (PBE) on crystalline Tl3VCl6 at its relaxed geometry.

Results
- D(E_F) (states/eV per cell) = 19.76
- SG = P2_1/c (14)
- size of the total moment (μB per cell) = 4.0

The structure in POSCAR format:
```
Tl3VCl6
1.0
-1.486 6.464 -2.811
-6.256 -3.075 -3.764
-6.171 2.486 8.226
Tl Cl V
6 12 2
direct
0.000 0.000 0.500
0.474 0.070 0.242
0.974 0.430 0.742
0.026 0.570 0.258
0.526 0.930 0.758
0.500 0.500 0.000
0.894 0.953 0.215
0.654 0.246 0.563
0.154 0.254 0.063
0.846 0.746 0.937
0.394 0.547 0.715
0.723 0.160 0.962
0.277 0.840 0.038
0.223 0.340 0.462
0.346 0.754 0.437
0.777 0.660 0.538
0.606 0.453 0.285
0.106 0.047 0.785
0.000 0.000 0.000
0.500 0.500 0.500
```

Arrangement two

VASP calculation (PBE) on crystalline Tl3VCl6 at its relaxed geometry.

Results
- SG = Cmc2_1 (36)
- size of the total moment (μB per cell) = 4.0

The structure in POSCAR format:
```
Tl3VCl6
1.0
7.734 0.000 0.000
0.000 9.975 -0.211
0.000 -2.431 9.677
Cl V Tl
12 2 6
direct
0.603 0.945 0.055
0.741 0.208 0.792
0.213 0.668 0.653
0.647 0.600 0.100
0.213 0.347 0.332
0.713 0.332 0.347
0.147 0.100 0.600
0.241 0.792 0.208
0.713 0.653 0.668
0.647 0.900 0.400
0.103 0.055 0.945
0.147 0.400 0.900
0.027 0.192 0.808
0.527 0.808 0.192
0.451 0.404 0.596
0.471 0.292 0.108
0.471 0.892 0.708
0.971 0.108 0.292
0.971 0.708 0.892
0.951 0.596 0.404
```

Most favorable first, least favorable last: arrangement one, arrangement two

Arrangement one

VASP calculation (PBE) on crystalline Tl2VCl4 at its relaxed geometry.

Results
- D(E_F) (states/eV per cell) = 1.80
- SG = Cmmm (65)
- size of the total moment (μB per cell) = 3.0

The structure in POSCAR format:
```
Tl2VCl4
1.0
3.880 0.000 0.000
0.000 7.759 -1.602
0.000 -0.132 7.921
Cl Tl V
4 2 1
direct
0.500 0.834 0.834
0.000 0.202 0.798
0.500 0.166 0.166
0.000 0.798 0.202
0.500 0.500 0.000
0.500 0.000 0.500
0.000 0.000 0.000
```

Arrangement two

VASP calculation (PBE) on crystalline Tl2VCl4 at its relaxed geometry.

Results
- D(E_F) (states/eV per cell) = 10.04
- SG = Fmmm (69)
- size of the total moment (μB per cell) = 3.0

The structure in POSCAR format:
```
Tl2VCl4
1.0
-6.718 -0.257 -3.124
2.626 -4.336 -5.409
1.124 -1.084 6.528
Tl Cl V
2 4 1
direct
0.250 0.750 0.500
0.750 0.250 0.500
0.226 0.226 0.000
0.227 0.773 0.000
0.774 0.774 0.000
0.773 0.227 0.000
0.000 0.000 0.000
```

Most favorable first, least favorable last: arrangement one, arrangement two

Arrangement one

VASP calculation (PBE) on crystalline TlVCl3 at its relaxed geometry.

Results
- D(E_F) (states/eV per cell) = 13.05
- SG = Pm-3m (221)
- size of the total moment (μB per cell) = 3.8

The structure in POSCAR format:
```
TlVCl3
1.0
-4.224 -2.179 2.742
2.912 0.203 4.647
-1.947 5.032 1.000
Cl V Tl
3 1 1
direct
0.500 0.000 0.000
0.000 0.500 0.000
0.000 0.000 0.500
0.500 0.500 0.500
0.000 0.000 0.000
```

Arrangement two

VASP calculation (PBE) on crystalline TlVCl3 at its relaxed geometry.

Results
- D(E_F) (states/eV per cell) = 0.71
- SG = P6_3/mmc (194)
- size of the total moment (μB per cell) = 6.0

The structure in POSCAR format:
```
TlVCl3
1.0
6.995 0.000 0.000
-3.498 6.058 0.000
0.000 0.000 6.208
Cl V Tl
6 2 2
direct
0.160 0.840 0.250
0.681 0.840 0.250
0.160 0.319 0.250
0.319 0.160 0.750
0.840 0.160 0.750
0.840 0.681 0.750
0.000 0.000 0.500
0.000 0.000 0.000
0.333 0.667 0.750
0.667 0.333 0.250
```

Arrangement three

VASP calculation (PBE) on crystalline TlVCl3 at its relaxed geometry.

Results
- D(E_F) (states/eV per cell) = 7.35
- SG = Cmcm (63)
- size of the total moment (μB per cell) = 6.0

The structure in POSCAR format:
```
TlVCl3
1.0
-3.137 -0.428 -3.965
-5.577 -3.929 4.837
0.135 7.571 -0.924
Cl Tl V
6 2 2
direct
0.750 0.843 0.777
0.250 0.509 0.223
0.750 0.786 0.219
0.250 0.566 0.781
0.750 0.286 0.777
0.250 0.066 0.223
0.250 0.039 0.726
0.750 0.313 0.274
0.250 0.753 0.154
0.750 0.599 0.846
```

Arrangement four

VASP calculation (PBE) on crystalline TlVCl3 at its relaxed geometry.

Results
- D(E_F) (states/eV per cell) = 0.69
- SG = Pm-3m (221)
- size of the total moment (μB per cell) = 3.0

The structure in POSCAR format:
```
TlVCl3
1.0
4.988 0.000 0.000
0.000 4.988 0.000
0.000 0.000 4.988
Cl Tl V
3 1 1
direct
0.000 0.000 0.500
0.500 0.000 0.000
0.000 0.500 0.000
0.500 0.500 0.500
0.000 0.000 0.000
```

Most favorable first, least favorable last: arrangement two, arrangement four, arrangement three, arrangement one

Arrangement one

VASP calculation (PBE) on crystalline Tl3VCl at its relaxed geometry.

Results
- D(E_F) (states/eV per cell) = 1.44
- SG = Pm-3m (221)
- size of the total moment (μB per cell) = 4.7

The structure in POSCAR format:
```
Tl3VCl
1.0
-5.302 1.445 0.029
-0.758 -2.873 4.624
1.230 4.457 2.971
Tl V Cl
3 1 1
direct
0.000 0.500 0.000
0.500 0.000 0.000
0.000 0.000 0.500
0.000 0.000 0.000
0.500 0.500 0.500
```

Arrangement two

VASP calculation (PBE) on crystalline Tl3VCl at its relaxed geometry.

Results
- D(E_F) (states/eV per cell) = 8.38
- SG = Pm-3m (221)
- size of the total moment (μB per cell) = 4.1

The structure in POSCAR format:
```
Tl3VCl
1.0
-5.354 -1.990 -0.666
1.990 -5.394 0.124
-0.668 -0.115 5.711
V Tl Cl
1 3 1
direct
0.500 0.500 0.500
0.000 0.000 0.500
0.000 0.500 0.000
0.500 0.000 0.000
0.000 0.000 0.000
```

Most favorable first, least favorable last: arrangement one, arrangement two

Arrangement one

VASP calculation (PBE) on crystalline TlVCl4 at its relaxed geometry.

Results
- SG = I-4 (82)
- size of the total moment (μB per cell) = 2.0

The structure in POSCAR format:
```
TlVCl4
1.0
-4.528 -2.534 -6.160
-2.216 -6.451 4.283
0.937 6.083 2.074
V Cl Tl
1 4 1
direct
0.500 0.500 0.000
0.884 0.563 0.401
0.162 0.116 0.599
0.516 0.838 0.401
0.437 0.484 0.599
0.750 0.250 0.500
```

Arrangement two

VASP calculation (PBE) on crystalline TlVCl4 at its relaxed geometry.

Results
- SG = I4_1/amd (141)
- size of the total moment (μB per cell) = 4.0

The structure in POSCAR format:
```
TlVCl4
1.0
7.909 -0.626 2.426
-4.483 6.545 2.426
-0.362 -0.626 8.264
Cl Tl V
8 2 2
direct
0.634 0.710 0.576
0.790 0.866 0.924
0.210 0.786 0.424
0.790 0.214 0.576
0.366 0.290 0.424
0.210 0.134 0.076
0.714 0.290 0.076
0.286 0.710 0.924
0.125 0.375 0.750
0.875 0.625 0.250
0.375 0.125 0.250
0.625 0.875 0.750
```

Most favorable first, least favorable last: arrangement two, arrangement one

Arrangement one

VASP calculation (PBE) on crystalline Tl2VCl5 at its relaxed geometry.

Results
- D(E_F) (states/eV per cell) = 8.37
- SG = Cm (8)
- size of the total moment (μB per cell) = 2.0

The structure in POSCAR format:
```
Tl2VCl5
1.0
-3.058 0.929 -6.761
-0.304 -7.419 -0.883
-2.459 3.197 5.687
Cl Tl V
5 2 1
direct
0.244 0.806 0.050
0.806 0.806 0.050
0.808 0.246 0.054
0.246 0.245 0.054
0.734 0.735 0.468
0.732 0.230 0.463
0.232 0.732 0.463
0.977 0.977 0.953
```

Arrangement two

VASP calculation (PBE) on crystalline Tl2VCl5 at its relaxed geometry.

Results
- D(E_F) (states/eV per cell) = 12.59
- SG = Cmcm (63)
- size of the total moment (μB per cell) = 4.0

The structure in POSCAR format:
```
Tl2VCl5
1.0
-2.968 -3.084 2.284
6.727 1.342 5.403
-6.484 10.318 5.510
V Tl Cl
2 4 10
direct
0.853 0.705 0.750
0.147 0.295 0.250
0.861 0.722 0.426
0.139 0.278 0.926
0.861 0.722 0.074
0.139 0.278 0.574
0.049 0.099 0.375
0.250 0.499 0.120
0.657 0.313 0.250
0.951 0.901 0.875
0.951 0.901 0.625
0.750 0.501 0.880
0.250 0.499 0.380
0.343 0.687 0.750
0.750 0.501 0.620
0.049 0.099 0.125
```

Most favorable first, least favorable last: arrangement one, arrangement two

Arrangement one

VASP calculation (PBE) on crystalline TlV3Cl at its relaxed geometry.

Results
- D(E_F) (states/eV per cell) = 16.28
- SG = Pm-3m (221)
- size of the total moment (μB per cell) = 9.2

The structure in POSCAR format:
```
TlV3Cl
1.0
5.214 0.000 0.000
0.000 5.214 0.000
0.000 0.000 5.214
V Cl Tl
3 1 1
direct
0.500 0.000 0.000
0.000 0.500 0.000
0.000 0.000 0.500
0.500 0.500 0.500
0.000 0.000 0.000
```

Arrangement two

VASP calculation (PBE) on crystalline TlV3Cl at its relaxed geometry.

Results
- D(E_F) (states/eV per cell) = 7.54
- SG = Pm-3m (221)
- size of the total moment (μB per cell) = 1.0

The structure in POSCAR format:
```
TlV3Cl
1.0
4.332 0.000 0.000
0.000 4.332 0.000
0.000 0.000 4.332
V Tl Cl
3 1 1
direct
0.000 0.000 0.500
0.000 0.500 0.000
0.500 0.000 0.000
0.500 0.500 0.500
0.000 0.000 0.000
```

Most favorable first, least favorable last: arrangement two, arrangement one